VASP calculation (PBE-GGA) on crystalline TbTmGa2Ni2 at its relaxed geometry.

Unit cell a=4.2668 b=4.2668 c=7.0094 alpha=90.00 beta=90.00 gamma=120.00
Space group P-3m1 (No. 164)
One atom of each set of equivalent atoms:
Tb: 0.0000 0.0000 0.0000 [1 per cell]
Tm: 0.0000 0.0000 0.5000 [1 per cell]
Ga: 0.3333 0.6667 0.2606 [2 per cell]
Ni: 0.3333 0.6667 0.7340 [2 per cell]

Summary:
mass density = 8.79 Mg/m³
formation enthalpy at 0 K = -614 meV/atom
Fermi-level density of states = 0.80 states/eV/atom
calculated volume = 111 Å³/f.u.

VASP calculation (PBE-GGA) on crystalline TbTmGaNi at its relaxed geometry.

Unit cell a=4.3422 b=3.7111 c=10.7405 alpha=90.00 beta=90.00 gamma=90.00
Space group Amm2 (No. 38)
One atom of each set of equivalent atoms:
Tb: 0.0000 0.0000 0.0000 [2 per cell]
Tm: 0.5000 0.0000 0.7152 [2 per cell]
Ga: 0.5000 0.0000 0.4268 [2 per cell]
Ni: 0.0000 0.0000 0.2885 [2 per cell]

Summary:
E above lowest polymorph = 0.0 meV per atom
mass density = 8.76 Mg/m³
formation enthalpy at 0 K = -504 meV/atom
Fermi-level density of states = 0.83 states/eV/atom
calculated volume = 87 Å³/f.u.

VASP calculation (PBE-GGA) on crystalline TbZn2GaNi at its relaxed geometry.

Unit cell a=3.9446 b=4.0818 c=10.8739 alpha=90.00 beta=90.00 gamma=90.00
Space group Imm2 (No. 44)
One atom of each set of equivalent atoms:
Tb: 0.0000 0.0000 0.0000 [2 per cell]
Zn: 0.0000 0.0000 0.6109 [2 per cell]
Zn: 0.0000 0.5000 0.2646 [2 per cell]
Ga: 0.0000 0.5000 0.7620 [2 per cell]
Ni: 0.0000 0.0000 0.3925 [2 per cell]

Summary:
mass density = 7.93 Mg/m³
formation enthalpy at 0 K = -402 meV/atom
Fermi-level density of states = 0.80 states/eV/atom
calculated volume = 88 Å³/f.u.